Record 1
This record from Alexandria describes an optimized crystal structure of ScCrGe. The functional is PBE-GGA.

Cell: 6.7006 4.1345 9.4739 Å, 90.00 129.79 90.00°
Last column: nearest neighbours and their distance in Å.
Fractional coordinates of all 12 atoms:
Ge (0.7335, 0.0000, 0.1748)  3 Cr 2.49-2.51, 1 Sc 2.73, 1 Ge 2.74
Ge (0.2665, 0.5000, 0.3252)  3 Cr 2.49-2.51, 1 Sc 2.73, 1 Ge 2.74
Ge (0.2665, 0.0000, 0.8252)  3 Cr 2.49-2.51, 1 Sc 2.73, 1 Ge 2.74
Ge (0.7335, 0.5000, 0.6748)  3 Cr 2.49-2.51, 1 Sc 2.73, 1 Ge 2.74
Sc (0.6916, 0.0000, 0.4428)  3 Ge 2.73-2.90, 4 Cr 2.85-2.98
Sc (0.3084, 0.0000, 0.5572)  3 Ge 2.73-2.90, 4 Cr 2.85-2.98
Sc (0.6916, 0.5000, 0.9428)  3 Ge 2.73-2.90, 4 Cr 2.85-2.98
Sc (0.3084, 0.5000, 0.0572)  3 Ge 2.73-2.90, 4 Cr 2.85-2.98
Cr (0.0713, 0.5000, 0.6364)  1 Cr 2.11
Cr (0.0713, 0.0000, 0.1364)  1 Cr 2.11
Cr (0.9287, 0.5000, 0.3636)  1 Cr 2.11
Cr (0.9287, 0.0000, 0.8636)  1 Cr 2.11

final energy	-0.26419	hartree per atom

Record 2
This record from Alexandria describes an optimized crystal structure of ScCrSiGe2. The functional is PBE-GGA.

Cell: 5.0541 4.7183 5.0541 Å, 90.00 90.00 90.00°
Last column: nearest neighbours and their distance in Å.
Fractional coordinates of all 5 atoms:
Si (0.5000, 0.5000, 0.5000)  8 Ge 3.46, 4 Cr 3.57
Ge (0.5000, 0.0000, 0.0000)  2 Sc 2.53
Ge (0.0000, 0.0000, 0.5000)  2 Sc 2.53
Sc (0.0000, 0.0000, 0.0000)  2 Cr 2.36, 4 Ge 2.53
Cr (0.0000, 0.5000, 0.0000)  2 Sc 2.36

energy relative to the elements, uncorrected	1.176	eV per atom

Record 3
This record from Alexandria describes an optimized crystal structure of ScTaCrGe2. The functional is PBE-GGA.

Cell: 4.9549 4.9983 4.9549 Å, 90.00 90.00 90.00°
Last column: nearest neighbours and their distance in Å.
Fractional coordinates of all 5 atoms:
Ge (0.5000, 0.0000, 0.0000)  2 Ta 2.48
Ge (0.0000, 0.0000, 0.5000)  2 Ta 2.48
Cr (0.5000, 0.5000, 0.5000)  4 Sc 3.50, 8 Ge 3.52
Sc (0.0000, 0.5000, 0.0000)  2 Ta 2.50
Ta (0.0000, 0.0000, 0.0000)  4 Ge 2.48, 2 Sc 2.50

final energy	-0.22325	hartree per atom

Record 4
This record from Alexandria describes an optimized crystal structure of YScCrGe2. The functional is PBE-GGA.

Cell: 5.0270 5.1114 5.0270 Å, 90.00 90.00 90.00°
Last column: nearest neighbours and their distance in Å.
Fractional coordinates of all 5 atoms:
Sc (0.0000, 0.0000, 0.0000)  4 Ge 2.51, 2 Y 2.56
Y (0.0000, 0.5000, 0.0000)  2 Sc 2.56
Ge (0.5000, 0.0000, 0.0000)  2 Sc 2.51
Ge (0.0000, 0.0000, 0.5000)  2 Sc 2.51
Cr (0.5000, 0.5000, 0.5000)  4 Y 3.55, 8 Ge 3.58

final energy	-0.18573	hartree per atom

Let's list theoretical density in order: 5.6 3.7 5.7 4.3 g/cm³.